Arrangement P

RbFeMo3 PBE relaxed; symmetry = Pm-3m; total magnetic moment = 0.20 μB per formula unit; calculated density = 7.30 Mg/m³; calculated volume = 19.529 A^3/atom
1.0
4.605 0.000 0.000
0.000 4.605 0.000
0.000 0.000 4.605
Rb Fe Mo
1 1 3
direct
0.000 0.000 0.000
0.500 0.500 0.500
0.000 0.000 0.500
0.000 0.500 0.000
0.500 0.000 0.000



Arrangement Q

RbFeMo3 PBE relaxed; symmetry = Pm-3m; total magnetic moment = 1.11 μB per formula unit; calculated density = 6.95 Mg/m³; calculated volume = 20.515 A^3/atom
1.0
4.681 0.000 0.000
0.000 4.681 0.000
0.000 0.000 4.681
Rb Fe Mo
1 1 3
direct
0.000 0.000 0.000
0.500 0.500 0.500
0.000 0.500 0.500
0.500 0.000 0.500
0.500 0.500 0.000



Energy ordering: arrangement Q at the bottom, the next structure 1914 meV/atom above.



Arrangement P

RbFe2Mo PBE relaxed; symmetry = I-42d; total magnetic moment = 0.00 μB per formula unit; calculated density = 5.89 Mg/m³; calculated volume = 20.653 A^3/atom
1.0
-3.560 3.560 3.259
3.560 -3.560 3.259
3.560 3.560 -3.259
Rb Fe Mo
2 4 2
direct
0.000 0.000 0.000
0.750 0.250 0.500
0.204 0.625 0.079
0.375 0.454 0.579
0.546 0.125 0.921
0.875 0.796 0.421
0.250 0.750 0.500
0.500 0.500 0.000



Arrangement Q

RbFe2Mo PBE relaxed; symmetry = Fm-3m; total magnetic moment = 0.00 μB per formula unit; calculated density = 7.50 Mg/m³; calculated volume = 16.222 A^3/atom
1.0
0.000 3.189 3.189
3.189 0.000 3.189
3.189 3.189 0.000
Rb Fe Mo
1 2 1
direct
0.000 0.000 0.000
0.250 0.250 0.250
0.750 0.750 0.750
0.500 0.500 0.500



Energy ordering: arrangement P at the bottom, the next structure 199 meV/atom above.



Arrangement P

FeRe2Mo PBE relaxed; symmetry = Imm2; total magnetic moment = 2.73 μB per formula unit; calculated density = 14.99 Mg/m³; calculated volume = 14.515 A^3/atom
1.0
-1.559 2.148 4.333
1.559 -2.148 4.333
1.559 2.148 -4.333
Fe Re Mo
1 2 1
direct
0.000 0.000 0.000
0.500 0.500 0.000
0.754 0.254 0.500
0.246 0.746 0.500



Arrangement Q

FeRe2Mo PBE relaxed; symmetry = Immm; total magnetic moment = 2.78 μB per formula unit; calculated density = 14.91 Mg/m³; calculated volume = 14.594 A^3/atom
1.0
-1.549 2.168 4.346
1.549 -2.168 4.346
1.549 2.168 -4.346
Fe Re Mo
1 2 1
direct
0.000 0.000 0.000
0.247 0.747 0.500
0.753 0.253 0.500
0.500 0.500 0.000



Energy ordering: arrangement P at the bottom, the next structure 12 meV/atom above.